Density functional theory data (GGA-PBE) for crystalline CsZnRe2O8 at its relaxed geometry.

Lattice parameters (Å, degrees): 5.5690 5.5690 8.7095 90.00 90.00 120.00
Space group P-3 (No. 147)
Asymmetric unit:
Cs 0.0000 0.0000 0.0000 (multiplicity 1)
Zn 0.0000 0.0000 0.5000 (multiplicity 1)
Re 0.3333 0.6667 0.7062 (multiplicity 2)
O 0.0689 0.3337 0.6431 (multiplicity 6)
O 0.3333 0.6667 0.9088 (multiplicity 2)

Output
* energy relative to the elements, uncorrected: -1616 meV/atom
* mass density: 4.96 g/cm3